# Na4Y3PbO8

A geometry-optimized Na4Y3PbO8 structure (GGA-PBE, Alexandria).

Computed properties:
For the volume, the calculation gives 232 Å³ per cell. The formation energy without anion corrections comes out at -2.363 eV/atom.

Unit cell a=6.900 b=6.900 c=6.900 alpha=60.02 beta=60.02 gamma=60.02
Fractional coordinates of all 16 atoms:
Na 0.000 0.000 0.000
Na 0.000 0.500 0.500
Na 0.500 0.000 0.500
Na 0.500 0.500 0.000
Y 0.000 0.000 0.500
Y 0.000 0.500 0.000
Y 0.500 0.000 0.000
Pb 0.500 0.500 0.500
O 0.228 0.745 0.745
O 0.236 0.236 0.236
O 0.255 0.255 0.772
O 0.255 0.772 0.255
O 0.745 0.228 0.745
O 0.745 0.745 0.228
O 0.764 0.764 0.764
O 0.772 0.255 0.255

# PrDyGeH

A geometry-optimized PrDyGeH structure (GGA-PBE, Alexandria).

Computed properties:
The value obtained for the total energy is -0.36417 Ry/atom. For the volume, the calculation gives 168 Å³ per cell.

Unit cell a=4.426 b=4.426 c=8.563 alpha=90.00 beta=90.00 gamma=90.00
Fractional coordinates of all 8 atoms:
Pr 0.250 0.250 0.127
Pr 0.750 0.750 0.873
Dy 0.250 0.750 0.500
Dy 0.750 0.250 0.500
Ge 0.250 0.250 0.733
Ge 0.750 0.750 0.267
H 0.250 0.750 0.000
H 0.750 0.250 0.000

# Ni2As2Pb

A geometry-optimized Ni2As2Pb structure (GGA-PBE, Alexandria).

Computed properties:
The value obtained for the total energy is -0.35662 Ry/atom. For the volume, the calculation gives 175 Å³ per cell.

Unit cell a=7.556 b=7.556 c=3.067 alpha=90.00 beta=90.00 gamma=90.00
Fractional coordinates of all 10 atoms:
Ni 0.120 0.380 0.000
Ni 0.380 0.880 0.000
Ni 0.620 0.120 0.000
Ni 0.880 0.620 0.000
As 0.141 0.641 0.500
As 0.359 0.141 0.500
As 0.641 0.859 0.500
As 0.859 0.359 0.500
Pb 0.000 0.000 0.000
Pb 0.500 0.500 0.000

Number 2 is which compound?
PrDyGeH